# 1
First-principles (PBE) data for a geometry-optimized UPtRh structure, as listed in the Alexandria database.

Cell lengths 4.6496, 4.6496, 2.9031 Å; angles 90.00, 90.00, 120.00 degrees
With the nearest neighbours (Å) after each atom.
Sites, in units of the cell vectors:
U: 0.0000 0.0000 0.0000  2 U 2.90, 6 Rh 3.05, 6 Pt 3.05
Pt: 0.3333 0.6667 0.5000  3 Rh 2.68, 2 Pt 2.90
Rh: 0.6667 0.3333 0.5000  3 Pt 2.68, 2 Rh 2.90

Energy of formation from the pure elements in eV/atom: -0.452

---

# 2
First-principles (PBE) data for a geometry-optimized UTlAu2I8 structure, as listed in the Alexandria database.

Cell lengths 7.5964, 8.4945, 9.9459 Å; angles 72.24, 89.39, 67.38 degrees
With the nearest neighbours (Å) after each atom.
Sites, in units of the cell vectors:
U: 0.0000 0.0000 0.0000  6 I 2.93-2.98
Tl: 0.0000 0.0000 0.5000  6 I 3.44-3.60
Au: 0.1010 0.5800 0.2621  3 I 2.64-2.77
Au: 0.8990 0.4200 0.7379  3 I 2.64-2.77
I: 0.1883 0.2601 0.9476  1 Au 2.66
I: 0.2651 0.2581 0.4559  1 Au 2.64
I: 0.2721 0.7973 0.8412  1 U 2.93
I: 0.2897 0.8032 0.2579  1 Au 2.77, 1 U 2.98
I: 0.7103 0.1968 0.7421  1 Au 2.77, 1 U 2.98
I: 0.7279 0.2027 0.1588  1 U 2.93
I: 0.7349 0.7419 0.5441  1 Au 2.64
I: 0.8117 0.7399 0.0524  1 Au 2.66

Uncorrected formation energy in eV/atom: -0.49

---

# 3
First-principles (PBE) data for a geometry-optimized K2Li2ZrO4 structure, as listed in the Alexandria database.

Cell lengths 6.3299, 6.3299, 6.3802 Å; angles 109.96, 109.96, 30.59 degrees
With the nearest neighbours (Å) after each atom.
Sites, in units of the cell vectors:
K: 0.1402 0.1402 0.0630  7 O 2.83-2.97, 3 Li 2.95-3.04
K: 0.8598 0.8598 0.9370  7 O 2.83-2.97, 3 Li 2.95-3.04
Li: 0.3185 0.3185 0.5173  4 O 1.93-2.01
Li: 0.6815 0.6815 0.4827  4 O 1.93-2.01
Zr: 0.0000 0.0000 0.5000  6 O 2.14-2.19
O: 0.1869 0.1869 0.6379  3 Li 1.93-2.01, 1 Zr 2.14
O: 0.4847 0.4847 0.7089  1 Li 1.96, 2 Zr 2.19
O: 0.5153 0.5153 0.2911  1 Li 1.96, 2 Zr 2.19
O: 0.8131 0.8131 0.3621  3 Li 1.93-2.01, 1 Zr 2.14

Uncorrected formation energy in eV/atom: -2.22

---

# 4
First-principles (PBE) data for a geometry-optimized Tb3NdDy2Te6 structure, as listed in the Alexandria database.

Cell lengths 9.7955, 9.7955, 8.8272 Å; angles 102.57, 102.57, 25.72 degrees
With the nearest neighbours (Å) after each atom.
Sites, in units of the cell vectors:
Tb: 0.0000 0.0000 0.0000  6 Te 3.06-3.13
Tb: 0.3384 0.3384 0.6666  6 Te 3.05-3.13
Tb: 0.6616 0.6616 0.3334  6 Te 3.05-3.13
Nd: 0.0000 0.0000 0.5000  6 Te 3.15-3.19
Dy: 0.3355 0.3355 0.1697  6 Te 3.03-3.12
Dy: 0.6646 0.6646 0.8303  6 Te 3.03-3.12
Te: 0.1681 0.1681 0.0831  3 Dy 3.11-3.12, 3 Tb 3.13
Te: 0.1715 0.1715 0.5871  2 Dy 3.08, 3 Tb 3.10-3.11, 1 Nd 3.19
Te: 0.4981 0.4981 0.2419  1 Dy 3.03, 3 Tb 3.05-3.06, 2 Nd 3.15
Te: 0.5019 0.5019 0.7581  1 Dy 3.03, 3 Tb 3.05-3.06, 2 Nd 3.15
Te: 0.8285 0.8285 0.4129  2 Dy 3.08, 3 Tb 3.10-3.11, 1 Nd 3.19
Te: 0.8319 0.8319 0.9169  3 Dy 3.11-3.12, 3 Tb 3.13

Uncorrected formation energy in eV/atom: -1.32

---

# 5
First-principles (PBE) data for a geometry-optimized Ca2RhBr structure, as listed in the Alexandria database.

Cell lengths 5.0919, 5.0919, 5.0919 Å; angles 60.00, 60.00, 60.00 degrees
With the nearest neighbours (Å) after each atom.
Sites, in units of the cell vectors:
Ca: 0.2500 0.2500 0.2500  4 Br 3.12, 4 Rh 3.12
Ca: 0.7500 0.7500 0.7500  4 Br 3.12, 4 Rh 3.12
Rh: 0.0000 0.0000 0.0000  8 Ca 3.12
Br: 0.5000 0.5000 0.5000  8 Ca 3.12

Uncorrected formation energy in eV/atom: -0.64

---

# 6
First-principles (PBE) data for a geometry-optimized Ac2TlSb4 structure, as listed in the Alexandria database.

Cell lengths 4.5506, 4.5506, 11.6122 Å; angles 90.00, 90.00, 90.00 degrees
With the nearest neighbours (Å) after each atom.
Sites, in units of the cell vectors:
Ac: 0.0000 0.5000 0.2269  8 Sb 3.41-3.48
Ac: 0.5000 0.0000 0.7731  8 Sb 3.41-3.48
Tl: 0.0000 0.0000 0.5000  4 Sb 3.06
Sb: 0.0000 0.0000 0.0000  4 Sb 3.22, 4 Ac 3.48
Sb: 0.0000 0.5000 0.6759  2 Tl 3.06, 4 Ac 3.41
Sb: 0.5000 0.0000 0.3241  2 Tl 3.06, 4 Ac 3.41
Sb: 0.5000 0.5000 0.0000  4 Sb 3.22, 4 Ac 3.48

Uncorrected formation energy in eV/atom: -0.66

---

# 7
First-principles (PBE) data for a geometry-optimized HfTaCd structure, as listed in the Alexandria database.

Cell lengths 7.3008, 7.3008, 7.3008 Å; angles 156.69, 156.69, 33.20 degrees
With the nearest neighbours (Å) after each atom.
Sites, in units of the cell vectors:
Hf: 0.0000 0.0000 0.0000  4 Hf 2.95, 4 Ta 3.03, 4 Cd 3.22
Ta: 0.6571 0.6571 0.0000  4 Ta 2.95, 4 Hf 3.03, 4 Cd 3.14
Cd: 0.3245 0.3245 0.0000  4 Cd 2.95, 4 Ta 3.14, 4 Hf 3.22

Energy of formation from the pure elements in eV/atom: 0.086

---

# 8
First-principles (PBE) data for a geometry-optimized Pa2PbO structure, as listed in the Alexandria database.

Cell lengths 3.2057, 3.2057, 8.0838 Å; angles 90.00, 90.00, 90.00 degrees
With the nearest neighbours (Å) after each atom.
Sites, in units of the cell vectors:
Pa: 0.0000 0.0000 0.1901  4 O 2.74
Pa: 0.0000 0.0000 0.8099  4 O 2.74
Pb: 0.5000 0.5000 0.5000  4 Pb 3.21, 8 Pa 3.38
O: 0.5000 0.5000 0.0000  8 Pa 2.74

Uncorrected formation energy in eV/atom: -0.58

---

# 9
First-principles (PBE) data for a geometry-optimized NbTeHPdICl structure, as listed in the Alexandria database.

Cell lengths 3.3999, 6.5909, 7.3606 Å; angles 68.90, 87.17, 87.82 degrees
With the nearest neighbours (Å) after each atom.
Sites, in units of the cell vectors:
Nb: 0.0000 0.0000 0.0000  1 H 1.90
Te: 0.9758 0.7203 0.7970  2 Pd 2.63-2.67, 1 Nb 2.76
H: 0.1151 0.7560 0.2272  1 Pd 1.86, 1 Nb 1.90
Pd: 0.4591 0.6301 0.0922  1 H 1.86
I: 0.4826 0.1455 0.2422  2 Nb 2.83-2.90, 1 H 2.94, 1 Pd 2.98
Cl: 0.4850 0.2365 0.7566  2 Nb 2.50-2.61

DFT total energy in eV per atom: -4.524

---

# 10
First-principles (PBE) data for a geometry-optimized Y2HoEr structure, as listed in the Alexandria database.

Cell lengths 3.5431, 3.5431, 10.0296 Å; angles 90.00, 90.00, 90.00 degrees
With the nearest neighbours (Å) after each atom.
Sites, in units of the cell vectors:
Y: 0.0000 0.0000 0.2505  4 Er 3.54, 4 Y 3.54, 4 Ho 3.55
Y: 0.0000 0.0000 0.7495  4 Er 3.54, 4 Y 3.54, 4 Ho 3.55
Ho: 0.5000 0.5000 0.0000  4 Ho 3.54, 8 Y 3.55
Er: 0.5000 0.5000 0.5000  8 Y 3.54, 4 Er 3.54

Energy of formation from the pure elements in eV/atom: 0.025

---

# 11
First-principles (PBE) data for a geometry-optimized Zr6FeRu5 structure, as listed in the Alexandria database.

Cell lengths 7.9926, 7.9926, 7.9926 Å; angles 146.39, 131.81, 60.04 degrees
With the nearest neighbours (Å) after each atom.
Sites, in units of the cell vectors:
Zr: 0.0832 0.3349 0.7483  1 Fe 2.80, 7 Ru 2.81-2.85
Zr: 0.2468 0.0000 0.2468  6 Ru 2.81-2.84, 2 Fe 2.82
Zr: 0.4134 0.6651 0.7483  1 Fe 2.80, 7 Ru 2.81-2.85
Zr: 0.5866 0.3349 0.2517  1 Fe 2.80, 7 Ru 2.81-2.85
Zr: 0.7532 0.0000 0.7532  6 Ru 2.81-2.84, 2 Fe 2.82
Zr: 0.9168 0.6651 0.2517  1 Fe 2.80, 7 Ru 2.81-2.85
Fe: 0.0000 0.5000 0.5000  8 Zr 2.80-2.82
Ru: 0.1666 0.1666 0.0000  8 Zr 2.81-2.85
Ru: 0.3334 0.8334 0.5000  8 Zr 2.84
Ru: 0.5000 0.5000 0.0000  8 Zr 2.81-2.84
Ru: 0.6666 0.1666 0.5000  8 Zr 2.84
Ru: 0.8334 0.8334 0.0000  8 Zr 2.81-2.85

Energy of formation from the pure elements in eV/atom: -0.562

---

# 12
First-principles (PBE) data for a geometry-optimized Pr2Se structure, as listed in the Alexandria database.

Cell lengths 4.0620, 4.0620, 20.0254 Å; angles 90.00, 90.00, 120.00 degrees
With the nearest neighbours (Å) after each atom.
Sites, in units of the cell vectors:
Pr: 0.0000 0.0000 0.2222  3 Se 2.98
Pr: 0.0000 0.0000 0.7778  3 Se 2.98
Pr: 0.3333 0.6667 0.0718  12 Pr 3.71-4.06
Pr: 0.3333 0.6667 0.4053  6 Se 2.97-3.02
Pr: 0.6667 0.3333 0.5947  6 Se 2.97-3.02
Pr: 0.6667 0.3333 0.9282  12 Pr 3.71-4.06
Se: 0.0000 0.0000 0.5000  6 Pr 3.02
Se: 0.3333 0.6667 0.6858  6 Pr 2.97-2.98
Se: 0.6667 0.3333 0.3142  6 Pr 2.97-2.98

Uncorrected formation energy in eV/atom: -1.15

---

How do the records compare in DOS(E_F)? In the order shown, they have 4.08, 0.28, 0.00, 6.63, 0.00, 3.12, 2.38, 8.32, 1.68, 5.30, 4.49, 7.21 states/eV per cell.